The following is a DFT calculation (GGA+U) of crystalline Mg2CoIrO6 at its relaxed geometry.

Calculated values
crystal system	monoclinic
VASP energy	-6.174	eV/atom
volume	9.79	A^3/atom
space-group type	No. 14
N(E_F)	10.971	states/eV per cell

a b c (Å): 5.051 5.240 8.945
angles (deg): 90.00 124.18 90.00
Positions (direct):
Mg  0.237  0.061  0.246
Mg  0.237  0.439  0.746
Mg  0.763  0.561  0.254
Mg  0.763  0.939  0.754
Co  0.000  0.000  0.500
Co  0.000  0.500  0.000
Ir  0.500  0.000  0.000
Ir  0.500  0.500  0.500
O  0.110  0.187  0.935
O  0.110  0.313  0.435
O  0.245  0.681  0.929
O  0.245  0.819  0.429
O  0.377  0.069  0.747
O  0.377  0.431  0.247
O  0.623  0.569  0.753
O  0.623  0.931  0.253
O  0.755  0.181  0.571
O  0.755  0.319  0.071
O  0.890  0.687  0.565
O  0.890  0.813  0.065